# Pm12Nd6Dy

A geometry-optimized Pm12Nd6Dy structure (PBE, the Alexandria database).

- VASP energy (eV per cell) = -84.44
- formation enthalpy at 0 K (eV/atom) = 0.30
- distance to the lowest polymorph of the same formula (meV per atom) = 172.4

POSCAR file:
```
Pm12Nd6Dy
1.0
8.276 4.778 2.843
-8.276 4.778 2.843
0.000 -9.556 2.843
Pm Nd Dy
12 6 1
Direct
0.000 0.379 0.621
0.000 0.621 0.379
0.233 0.233 0.593
0.233 0.593 0.233
0.379 0.000 0.621
0.379 0.621 0.000
0.407 0.767 0.767
0.593 0.233 0.233
0.621 0.000 0.379
0.621 0.379 0.000
0.767 0.407 0.767
0.767 0.767 0.407
0.023 0.769 0.769
0.231 0.231 0.977
0.231 0.977 0.231
0.769 0.023 0.769
0.769 0.769 0.023
0.977 0.231 0.231
0.500 0.500 0.500
```